Record 1
A plane-wave DFT calculation with PBE was carried out for an optimized crystal structure of SiBrF2.

Structure (extended XYZ):
```
4
Lattice="1.6566 0.0000 10.0612 -0.8283 1.4347 10.0612 -0.8283 -1.4347 10.0612" Properties=species:S:1:pos:R:3 pbc="T T T"
Si 0.0000 0.0000 0.0000
Br 0.0000 0.0000 15.0919
F 0.0000 0.0000 28.5535
F 0.0000 0.0000 1.6302
```

Summary:
* electronic total energy: -4.02 eV/atom
* energy relative to the lowest polymorph listed for this composition: 0.000 eV/atom
* crystal system: trigonal
* energy relative to the elements, uncorrected: -1.310 eV/atom

---

Record 2
A plane-wave DFT calculation with PBE was carried out for an optimized crystal structure of TlRh2Au.

Structure (extended XYZ):
```
4
Lattice="4.0607 1.9695 2.1188 -1.4237 3.6351 3.1011 -1.5154 -4.7293 -0.4414" Properties=species:S:1:pos:R:3 pbc="T T T"
Tl 1.3185 2.8023 2.6099
Rh 0.0000 0.0000 0.0000
Rh -0.8103 0.8541 2.6348
Au 1.9319 0.0212 2.1436
```

Summary:
* energy of formation from the pure elements: 0.200 eV per atom
* electronic total energy: -4.89 eV/atom
* crystal system: tetragonal

---

- Which of these has the highest electronic total energy?
  SiBrF2

---

Please write out number 1 again, unchanged.
A plane-wave DFT calculation with PBE was carried out for an optimized crystal structure of SiBrF2.

Structure (extended XYZ):
```
4
Lattice="1.6566 0.0000 10.0612 -0.8283 1.4347 10.0612 -0.8283 -1.4347 10.0612" Properties=species:S:1:pos:R:3 pbc="T T T"
Si 0.0000 0.0000 0.0000
Br 0.0000 0.0000 15.0919
F 0.0000 0.0000 28.5535
F 0.0000 0.0000 1.6302
```

Summary:
* electronic total energy: -4.02 eV/atom
* energy relative to the lowest polymorph listed for this composition: 0.000 eV/atom
* crystal system: trigonal
* energy relative to the elements, uncorrected: -1.310 eV/atom

---

- Which of these has the lowest electronic total energy?
  TlRh2Au

---

- Look up the electronic total energy of the first one.
  -4.02 eV/atom